Entry 1:
The following is a DFT calculation (GGA-PBE) of a relaxed Ir2SeCl crystal.

Energy above the most stable polymorph in this dataset: 0 meV per atom
Symmetry: No. 6
Formation energy from raw total energies: 0.033 eV per atom
Mass density: 10.06 g/cm3

Cell: 2.839 3.549 8.176 Å, 90.00 90.16 90.00°
Sites, in units of the cell vectors:
Ir: 0.000 0.000 0.000
Ir: 0.499 0.500 0.826
Se: 0.001 0.500 0.205
Cl: 0.497 0.000 0.634

Entry 2:
The following is a DFT calculation (GGA-PBE) of a relaxed Y2AgPb crystal.

Formation energy from the elements: -9.3 kcal/mol of atoms
Symmetry: No. 38
Mass density: 7.47 g/cm3

Cell: 4.591 4.139 11.535 Å, 90.00 90.00 90.00°
Sites, in units of the cell vectors:
Y: 0.000 0.000 0.000
Y: 0.000 0.500 0.500
Y: 0.500 0.000 0.283
Y: 0.500 0.500 0.783
Ag: 0.500 0.000 0.551
Ag: 0.500 0.500 0.051
Pb: 0.000 0.000 0.724
Pb: 0.000 0.500 0.224

Entry 3:
The following is a DFT calculation (GGA-PBE) of a relaxed CeSi2Ir crystal.

Symmetry: No. 62
Formation energy from raw total energies: -0.914 eV per atom
Mass density: 8.97 g/cm3

Cell: 6.974 4.095 10.072 Å, 90.00 90.00 90.00°
Sites, in units of the cell vectors:
Ce: 0.150 0.250 0.128
Ce: 0.350 0.750 0.628
Ce: 0.650 0.250 0.372
Ce: 0.850 0.750 0.872
Si: 0.152 0.250 0.821
Si: 0.206 0.250 0.423
Si: 0.294 0.750 0.923
Si: 0.348 0.750 0.321
Si: 0.652 0.250 0.679
Si: 0.706 0.250 0.077
Si: 0.794 0.750 0.577
Si: 0.848 0.750 0.179
Ir: 0.006 0.750 0.387
Ir: 0.494 0.250 0.887
Ir: 0.506 0.750 0.113
Ir: 0.994 0.250 0.613